This record from Alexandria describes a relaxed Sr2UMnSe6 crystal. The functional is PBE.

Unit cell a=7.037 b=7.552 c=12.291 alpha=90.00 beta=123.81 gamma=90.00
Fractional positions:
Sr 0.215 0.087 0.245
Sr 0.215 0.413 0.745
Sr 0.785 0.587 0.255
Sr 0.785 0.913 0.755
U 0.500 0.000 0.000
U 0.500 0.500 0.500
Mn 0.000 0.000 0.500
Mn 0.000 0.500 0.000
Se 0.138 0.197 0.950
Se 0.138 0.303 0.450
Se 0.260 0.692 0.951
Se 0.260 0.808 0.451
Se 0.344 0.017 0.744
Se 0.344 0.483 0.244
Se 0.656 0.517 0.756
Se 0.656 0.983 0.256
Se 0.740 0.192 0.549
Se 0.740 0.308 0.049
Se 0.862 0.697 0.550
Se 0.862 0.803 0.050

Total magnetization ... 10.0 Bohr magnetons per cell
E ... -0.4240 Ry/atom



This record from Alexandria describes a relaxed SrYMnSe4 crystal. The functional is PBE.

Unit cell a=6.915 b=6.440 c=8.546 alpha=90.00 beta=107.31 gamma=90.00
Fractional positions:
Sr 0.248 0.250 0.440
Sr 0.752 0.750 0.560
Y 0.253 0.250 0.940
Y 0.747 0.750 0.060
Mn 0.260 0.750 0.180
Mn 0.740 0.250 0.820
Se 0.063 0.750 0.899
Se 0.070 0.750 0.373
Se 0.485 0.510 0.770
Se 0.485 0.990 0.770
Se 0.515 0.010 0.230
Se 0.515 0.490 0.230
Se 0.930 0.250 0.627
Se 0.937 0.250 0.101

Total magnetization ... 8.0 Bohr magnetons per cell
E ... -0.4270 Ry/atom



This record from Alexandria describes a relaxed Sr2MnZnSe crystal. The functional is PBE.

Unit cell a=5.883 b=5.883 c=4.665 alpha=90.00 beta=90.00 gamma=90.00
Fractional positions:
Sr 0.000 0.500 0.000
Sr 0.500 0.000 0.000
Mn 0.000 0.000 0.500
Zn 0.000 0.000 0.000
Se 0.500 0.500 0.500

Total magnetization ... 3.6 Bohr magnetons per cell
E ... -0.2650 Ry/atom